# 1
The following is a DFT calculation (PBE) of a relaxed CePr2ScS4 crystal.

* E_form (uncorrected): -1960 meV per atom
* final energy: -54.0 eV per formula unit
* space-group type: No. 10

Unit cell a=3.960 b=6.904 c=6.942 alpha=109.03 beta=90.00 gamma=90.00
Positions (direct):
Ce 0.500 0.500 0.000
Pr 0.500 0.000 0.500
Pr 0.000 0.500 0.500
Sc 0.000 0.000 0.000
S 0.500 0.230 0.225
S 0.500 0.770 0.775
S 0.000 0.243 0.766
S 0.000 0.757 0.234

***

# 2
The following is a DFT calculation (PBE) of a relaxed K3TbNd2S6 crystal.

* E_form (uncorrected): -1861 meV per atom
* final energy: -64.6 eV per formula unit
* space-group type: No. 12

Unit cell a=7.197 b=7.197 c=7.774 alpha=98.88 beta=98.88 gamma=120.00
Positions (direct):
K 0.167 0.833 0.500
K 0.833 0.167 0.500
K 0.500 0.500 0.500
Tb 0.000 0.000 0.000
Nd 0.333 0.667 0.000
Nd 0.667 0.333 0.000
S 0.931 0.605 0.794
S 0.742 0.742 0.206
S 0.069 0.395 0.206
S 0.605 0.931 0.794
S 0.258 0.258 0.794
S 0.395 0.069 0.206

***

# 3
The following is a DFT calculation (PBE) of a relaxed Tm2Ga2Tc crystal.

* final energy: -27.6 eV per formula unit
* space-group type: No. 12
* energy of formation: -2.23 eV/f.u.

Unit cell a=4.266 b=5.646 c=9.639 alpha=88.51 beta=77.21 gamma=67.80
Positions (direct):
Tm 0.675 0.318 0.332
Tm 0.925 0.267 0.884
Tm 0.325 0.682 0.668
Tm 0.075 0.733 0.116
Ga 0.078 0.277 0.567
Ga 0.631 0.856 0.881
Ga 0.922 0.723 0.433
Ga 0.369 0.144 0.119
Tc 0.642 0.073 0.642
Tc 0.358 0.927 0.358

***

# 4
The following is a DFT calculation (PBE) of a relaxed Li7HgPb4 crystal.

* final energy: -30.9 eV per formula unit
* space-group type: No. 12
* energy of formation: -2.35 eV/f.u.

Unit cell a=5.071 b=8.537 c=7.294 alpha=81.14 beta=69.66 gamma=72.72
Positions (direct):
Li 0.783 0.857 0.577
Li 0.217 0.143 0.423
Li 0.055 0.685 0.205
Li 0.945 0.315 0.795
Li 0.365 0.574 0.696
Li 0.500 0.000 0.000
Li 0.635 0.426 0.304
Hg 0.000 0.000 0.000
Pb 0.578 0.204 0.641
Pb 0.422 0.796 0.359
Pb 0.705 0.642 0.949
Pb 0.295 0.358 0.051